The following is a PBE calculation of a relaxed Cs7Au2O2 crystal, from the Alexandria database.

Cell: 4.209 21.930 13.215 Å, 90.00 90.00 90.00°
Space group Imm2 (No. 44)
Asymmetric unit:
Cs 0.000 0.000 0.000 [2 per cell]
Cs 0.000 0.100 0.622 [4 per cell]
Cs 0.000 0.333 0.487 [4 per cell]
Cs 0.000 0.394 0.747 [4 per cell]
Au 0.000 0.000 0.420 [2 per cell]
Au 0.000 0.500 0.265 [2 per cell]
O 0.000 0.115 0.097 [4 per cell]

Summary:
- Formation energy (no corrections): -595.3 meV per atom
- Spin magnetization: 0.00 μB per formula unit
- Energy above the most stable polymorph in this dataset: 38 kJ/mol of formula units